1.
A geometry-optimized YTe2Os structure. Source: the Alexandria database, functional GGA-PBE.

Computed properties:
The value obtained for the energy relative to the elements, uncorrected is -139 meV per atom. The total moment is 0.0 μB/cell. Its space group is P4/mmm. The relative energy among the computed polymorphs is 239 meV per atom. For the density of states at the Fermi level, the calculation gives 3.241 states/eV per cell.

a b c (Å): 3.5596 4.9426 4.9426
angles (deg): 90.00 90.00 90.00
Last column: nearest neighbours and their distance in Å.
Fractional coordinates of all 4 atoms:
Te (0.0000, 0.0000, 0.0000)  4 Os 3.05, 4 Y 3.05
Te (0.0000, 0.5000, 0.5000)  4 Y 3.05, 4 Os 3.05
Os (0.5000, 0.0000, 0.5000)  8 Te 3.05
Y (0.5000, 0.5000, 0.0000)  8 Te 3.05

***

2.
A geometry-optimized YTeOs structure. Source: the Alexandria database, functional GGA-PBE.

Computed properties:
The value obtained for the energy relative to the elements, uncorrected is 130 meV per atom. The total moment is 0.0 μB/cell. Its space group is Imm2. For the density of states at the Fermi level, the calculation gives 1.892 states/eV per cell.

a b c (Å): 5.2890 5.2890 5.2890
angles (deg): 139.99 133.66 62.85
Last column: nearest neighbours and their distance in Å.
Fractional coordinates of all 3 atoms:
Te (0.3223, 0.3223, 0.0000)  1 Os 2.67, 1 Y 2.98
Y (0.6518, 0.6518, 0.0000)  5 Te 2.98-3.16, 4 Os 2.98
Os (0.0259, 0.0259, 0.0000)  1 Te 2.67, 4 Y 2.98

***

3.
A geometry-optimized YTe2Os structure. Source: the Alexandria database, functional GGA-PBE.

Computed properties:
The value obtained for the energy relative to the elements, uncorrected is -152 meV per atom. The total moment is 0.0 μB/cell. Its space group is Cm. The relative energy among the computed polymorphs is 226 meV per atom. For the density of states at the Fermi level, the calculation gives 1.728 states/eV per cell.

a b c (Å): 6.0019 6.0019 5.1787
angles (deg): 69.37 69.37 33.15
Last column: nearest neighbours and their distance in Å.
Fractional coordinates of all 4 atoms:
Os (0.2720, 0.2720, 0.2678)  4 Te 2.67-2.74
Te (0.7495, 0.7495, 0.6975)  2 Os 2.74
Te (0.9602, 0.9602, 0.0416)  2 Os 2.67
Y (0.5184, 0.5184, 0.4931)  7 Te 3.16-3.35, 3 Os 3.21-3.44, 2 Y 3.42

***

4.
A geometry-optimized YTe2Os structure. Source: the Alexandria database, functional GGA-PBE.

Computed properties:
The value obtained for the energy relative to the elements, uncorrected is 203 meV per atom. The total moment is 0.0 μB/cell. Its space group is Fmmm. The relative energy among the computed polymorphs is 581 meV per atom. For the density of states at the Fermi level, the calculation gives 3.527 states/eV per cell.

a b c (Å): 4.6250 5.5852 4.6330
angles (deg): 69.95 79.99 110.00
Last column: nearest neighbours and their distance in Å.
Fractional coordinates of all 4 atoms:
Y (0.0000, 0.5000, 0.5000)  4 Te 2.95, 2 Os 2.98
Te (0.5000, 0.0000, 0.5000)  2 Y 2.95, 2 Os 2.95, 2 Te 2.98
Te (0.0000, 0.0000, 0.0000)  2 Os 2.95, 2 Y 2.95, 2 Te 2.98
Os (0.5000, 0.5000, 0.0000)  4 Te 2.95, 2 Y 2.98

***

5.
A geometry-optimized Y3TeOs structure. Source: the Alexandria database, functional GGA-PBE.

Computed properties:
The value obtained for the energy relative to the elements, uncorrected is -275 meV per atom. The total moment is 0.0 μB/cell. Its space group is Pm-3m. The relative energy among the computed polymorphs is 0 meV per atom. For the density of states at the Fermi level, the calculation gives 4.613 states/eV per cell.

a b c (Å): 5.3865 5.3865 5.3865
angles (deg): 90.00 90.00 90.00
Last column: nearest neighbours and their distance in Å.
Fractional coordinates of all 5 atoms:
Y (0.0000, 0.0000, 0.5000)  2 Os 2.69
Y (0.0000, 0.5000, 0.0000)  2 Os 2.69
Y (0.5000, 0.0000, 0.0000)  2 Os 2.69
Te (0.5000, 0.5000, 0.5000)  12 Y 3.81
Os (0.0000, 0.0000, 0.0000)  6 Y 2.69

***

6.
A geometry-optimized YTe2Os structure. Source: the Alexandria database, functional GGA-PBE.

Computed properties:
The value obtained for the energy relative to the elements, uncorrected is 100 meV per atom. The total moment is 0.0 μB/cell. Its space group is I-4m2. The relative energy among the computed polymorphs is 478 meV per atom. For the density of states at the Fermi level, the calculation gives 3.681 states/eV per cell.

a b c (Å): 5.8534 5.8534 5.8534
angles (deg): 137.63 137.63 61.47
Last column: nearest neighbours and their distance in Å.
Fractional coordinates of all 4 atoms:
Os (0.7500, 0.2500, 0.5000)  8 Te 2.99-3.29, 4 Y 3.29
Y (0.5000, 0.5000, 0.0000)  8 Te 2.99-3.29, 4 Os 3.29
Te (0.0000, 0.0000, 0.0000)  4 Y 2.99, 4 Te 3.29, 4 Os 3.29
Te (0.2500, 0.7500, 0.5000)  4 Os 2.99, 4 Y 3.29, 4 Te 3.29